An optimized crystal structure of TaCu2. Source: Alexandria via LeMat-Bulk, functional PBE.

## Properties
Formation enthalpy at 0 K: 0.124 eV/atom
Space group: C2/m
Total DFT energy (no corrections): -0.4820 Ry per atom

abc: 5.1367 5.1367 6.7884
angles: 71.24 71.24 30.05
Element x y z (fractional)
Cu: 0.3507 0.3507 0.0315
Cu: 0.6493 0.6493 0.9685
Cu: 0.9627 0.9627 0.2543
Cu: 0.0373 0.0373 0.7457
Ta: 0.3340 0.3340 0.6240
Ta: 0.6660 0.6660 0.3760

An optimized crystal structure of Si2SnRhO. Source: Alexandria via LeMat-Bulk, functional PBE.

## Properties
Formation energy without anion corrections: -3.77 eV/f.u.
Space group: P1
Total DFT energy (no corrections): -0.4547 Ry per atom

abc: 3.1914 4.7611 5.7093
angles: 73.19 86.86 80.72
Element x y z (fractional)
Rh: 0.6400 0.0767 0.0162
Si: 0.1503 0.8978 0.3627
Si: 0.1622 0.1641 0.6680
Sn: 0.0023 0.5352 0.0217
O: 0.1406 0.5193 0.4708

An optimized crystal structure of CsKCdI. Source: Alexandria via LeMat-Bulk, functional PBE.

## Properties
Formation energy without anion corrections: -2.27 eV/f.u.
Space group: F-43m
Total DFT energy (no corrections): -0.1228 Ry per atom

abc: 6.5232 6.5232 6.5232
angles: 60.00 60.00 60.00
Element x y z (fractional)
Cd: 0.2500 0.2500 0.2500
K: 0.5000 0.5000 0.5000
Cs: 0.0000 0.0000 0.0000
I: 0.7500 0.7500 0.7500

An optimized crystal structure of LiLaFe. Source: Alexandria via LeMat-Bulk, functional PBE.

## Properties
Formation enthalpy at 0 K: 0.522 eV/atom
Space group: P3m1
Total DFT energy (no corrections): -0.3366 Ry per atom

abc: 3.5753 3.5753 6.2534
angles: 90.00 90.00 120.00
Element x y z (fractional)
La: 0.6667 0.3333 0.2770
Li: 0.3333 0.6667 0.7337
Fe: 0.0000 0.0000 0.9893

An optimized crystal structure of Pu4Nb. Source: Alexandria via LeMat-Bulk, functional PBE.

## Properties
Formation enthalpy at 0 K: 0.880 eV/atom
Space group: Pm-3m
Total DFT energy (no corrections): -0.9261 Ry per atom

abc: 5.3398 5.3398 5.3398
angles: 90.00 90.00 90.00
Element x y z (fractional)
Pu: 0.0000 0.5000 0.5000
Pu: 0.0000 0.0000 0.0000
Pu: 0.5000 0.0000 0.5000
Pu: 0.5000 0.5000 0.0000
Nb: 0.5000 0.5000 0.5000

An optimized crystal structure of Nd2ErZn. Source: Alexandria via LeMat-Bulk, functional PBE.

## Properties
Formation enthalpy at 0 K: 0.020 eV/atom
Space group: Fm-3m
Total DFT energy (no corrections): -0.2810 Ry per atom

abc: 5.4379 5.4379 5.4379
angles: 60.00 60.00 60.00
Element x y z (fractional)
Zn: 0.5000 0.5000 0.5000
Nd: 0.2500 0.2500 0.2500
Nd: 0.7500 0.7500 0.7500
Er: 0.0000 0.0000 0.0000

An optimized crystal structure of NaCa2O2. Source: Alexandria via LeMat-Bulk, functional PBE.

## Properties
Formation energy without anion corrections: -10.60 eV/f.u.
Space group: P-1
Total DFT energy (no corrections): -0.3798 Ry per atom

abc: 6.1619 6.1357 6.7243
angles: 73.96 56.62 59.84
Element x y z (fractional)
Na: 0.1876 0.1222 0.7506
Na: 0.8124 0.8778 0.2494
Ca: 0.5071 0.4857 0.2501
Ca: 0.1955 0.1096 0.2501
Ca: 0.4929 0.5143 0.7499
Ca: 0.8045 0.8904 0.7499
O: 0.7049 0.1906 0.4821
O: 0.2951 0.8094 0.5179
O: 0.3945 0.8096 0.9825
O: 0.6055 0.1904 0.0175

An optimized crystal structure of HfBi2As2. Source: Alexandria via LeMat-Bulk, functional PBE.

## Properties
Formation enthalpy at 0 K: -0.061 eV/atom
Space group: P4/mbm
Total DFT energy (no corrections): -0.4016 Ry per atom

abc: 7.4494 7.4494 4.5180
angles: 90.00 90.00 90.00
Element x y z (fractional)
Hf: 0.0000 0.0000 0.0000
Hf: 0.5000 0.5000 0.0000
Bi: 0.8391 0.3391 0.5000
Bi: 0.1609 0.6609 0.5000
Bi: 0.3391 0.1609 0.5000
Bi: 0.6609 0.8391 0.5000
As: 0.6678 0.1678 0.0000
As: 0.8322 0.6678 0.0000
As: 0.3322 0.8322 0.0000
As: 0.1678 0.3322 0.0000

Q: Among the records above, which one has the highest total DFT energy (no corrections)?
A: CsKCdI

Q: The highest total DFT energy (no corrections) belongs to which entry?
A: CsKCdI

Q: Look up the total DFT energy (no corrections) of the first one.
A: -0.4820 Ry per atom

Q: What is the formula in the second record?
A: Si2SnRhO